! CaHfMnFe2 PBE optimized geometry; values from VASP
&SYSTEM
  ibrav = 0, nat = 5, ntyp = 4
/
ATOMIC_SPECIES
Ca 40.08 Ca.upf
Mn 54.94 Mn.upf
Hf 178.49 Hf.upf
Fe 55.84 Fe.upf
ATOMIC_POSITIONS crystal
Ca 0.000 0.500 0.000
Mn 0.500 0.500 0.500
Hf 0.000 0.000 0.000
Fe 0.000 0.000 0.500
Fe 0.500 0.000 0.000
CELL_PARAMETERS angstrom
4.544 0.000 0.000
0.000 5.426 0.000
0.000 0.000 4.544
! Density of states at the Fermi level: 1.7348 states/eV per atom
! Magnetization: 3.71 μB/cell
! ΔE_f: 1930 meV/atom
! Energy: -5.680 eV per atom